Record 1
Entry from Alexandria: a relaxed TbMnS crystal (PBE-GGA).

Structure (POSCAR):
```
TbMnS
1.0
-3.755 0.535 0.043
-0.428 -2.799 -2.524
-0.726 -5.593 6.324
Tb Mn S
2 2 2
Cartesian
-0.723 -5.327 3.179 Tb
-2.093 -1.397 1.904 Tb
-2.558 -4.981 5.956 Mn
-0.258 -1.743 -0.873 Mn
-0.473 -3.394 0.994 S
-2.344 -3.330 4.089 S
```

Space-group type ... P4/nmm
Magnetic moment ... 7.24 μB per cell
E_tot ... -6.99 eV per atom
Formation energy (no corrections) ... -1011.0 meV per atom

Record 2
Entry from Alexandria: a relaxed ScCr3Ge crystal (PBE-GGA).

Structure (POSCAR):
```
ScCr3Ge
1.0
-3.204 -1.041 3.107
-0.731 -4.008 -2.097
3.194 -1.962 2.636
Ge Cr Sc
1 3 1
Cartesian
0.000 0.000 0.000 Ge
-0.366 -2.004 -1.049 Cr
1.597 -0.981 1.318 Cr
-1.602 -0.520 1.553 Cr
-0.371 -3.506 1.823 Sc
```

Excess energy over the best structure of this formula in the dataset ... 0 meV per atom
Space-group type ... Pm-3m
Magnetic moment ... 8.74 μB per cell
E_tot ... -7.14 eV per atom

Record 3
Entry from Alexandria: a relaxed TmZr2Ag crystal (PBE-GGA).

Structure (POSCAR):
```
TmZr2Ag
1.0
3.109 0.000 0.000
1.554 2.692 0.000
1.554 0.897 11.281
Zr Ag Tm
2 1 1
Cartesian
1.555 0.897 8.120 Zr
4.663 2.692 3.161 Zr
3.109 1.795 5.641 Ag
0.000 0.000 0.000 Tm
```

Space-group type ... R-3m
Magnetic moment ... 0.00 μB per cell
E_tot ... -5.79 eV per atom

Record 4
Entry from Alexandria: a relaxed PmPr4Ge4 crystal (PBE-GGA).

Structure (POSCAR):
```
PmPr4Ge4
1.0
6.141 0.000 0.000
0.000 9.251 0.000
0.000 0.000 9.251
Pr Ge Pm
8 8 2
Cartesian
5.356 5.369 7.403 Pr
3.855 8.507 6.473 Pr
5.356 3.881 1.847 Pr
0.784 1.847 5.369 Pr
3.855 0.744 2.778 Pr
2.286 2.778 8.507 Pr
0.784 7.403 3.881 Pr
2.286 6.473 0.744 Pr
5.294 2.486 8.109 Ge
3.918 7.111 3.484 Ge
0.847 1.141 2.486 Ge
2.223 5.767 7.111 Ge
5.294 6.765 1.141 Ge
2.223 3.484 2.139 Ge
0.847 8.109 6.765 Ge
3.918 2.139 5.767 Ge
3.070 4.625 4.625 Pm
0.000 0.000 0.000 Pm
```

Space-group type ... P4_2/n
Magnetic moment ... 0.00 μB per cell
E_tot ... -5.28 eV per atom

Record 5
Entry from Alexandria: a relaxed ScCoC2 crystal (PBE-GGA).

Structure (POSCAR):
```
ScCoC2
1.0
-1.148 1.480 -2.804
0.571 -2.836 -1.731
-6.636 -2.265 1.521
C Sc Co
4 2 2
Cartesian
-2.873 -0.045 -0.875 C
-5.359 -3.345 0.428 C
-4.051 -2.898 0.129 C
-1.565 0.401 -1.175 C
-2.016 -2.204 -0.338 Sc
-4.909 -0.740 -0.408 Sc
-0.288 -0.678 -2.267 Co
0.000 0.000 0.000 Co
```

Space-group type ... P4/nmm
Magnetic moment ... 0.00 μB per cell
E_tot ... -8.29 eV per atom

Record 6
Entry from Alexandria: a relaxed BRuRh crystal (PBE-GGA).

Structure (POSCAR):
```
BRuRh
1.0
-3.270 3.001 1.508
-1.804 -0.979 -1.964
-3.485 -7.294 6.836
Ru Rh B
4 4 4
Cartesian
-4.436 -7.117 5.567 Ru
-0.813 -0.947 1.219 Ru
-3.458 -5.084 3.655 Ru
-1.792 -2.980 3.131 Ru
-4.603 -2.580 3.460 Rh
-5.558 -4.583 5.335 Rh
-2.914 -0.447 2.899 Rh
-1.959 1.556 1.024 Rh
-5.805 -3.114 6.883 B
-2.815 -0.365 0.713 B
-3.656 -3.523 5.113 B
-4.964 0.044 2.483 B
```

Space-group type ... Cm
Magnetic moment ... 0.00 μB per cell
E_tot ... -7.91 eV per atom

Record 7
Entry from Alexandria: a relaxed ZrP2Rh crystal (PBE-GGA).

Structure (POSCAR):
```
ZrP2Rh
1.0
3.215 -0.010 0.000
-0.882 3.092 0.000
0.000 0.000 6.411
Zr P Rh
1 2 1
Cartesian
1.167 1.541 4.808 Zr
0.000 0.000 0.165 P
0.000 0.000 3.040 P
1.167 1.541 1.603 Rh
```

Excess energy over the best structure of this formula in the dataset ... 294 meV per atom
Space-group type ... Cmmm
Magnetic moment ... 0.00 μB per cell
E_tot ... -7.22 eV per atom

Record 8
Entry from Alexandria: a relaxed In2Ag2Pb crystal (PBE-GGA).

Structure (POSCAR):
```
In2Ag2Pb
1.0
5.913 0.562 -0.654
-2.136 4.478 -2.959
-0.843 0.157 8.598
In Ag Pb
4 4 2
Cartesian
2.860 2.919 4.461 In
-0.292 3.072 3.541 In
3.226 2.125 1.444 In
0.074 2.278 0.523 In
1.327 0.657 3.246 Ag
3.254 1.022 7.411 Ag
-0.320 4.175 -2.427 Ag
1.607 4.540 1.739 Ag
0.129 1.301 6.244 Pb
2.805 3.896 -1.259 Pb
```

Excess energy over the best structure of this formula in the dataset ... 14 meV per atom
Space-group type ... P-1
Magnetic moment ... 0.00 μB per cell
E_tot ... -2.92 eV per atom

Record 9
Entry from Alexandria: a relaxed Al2TeMo crystal (PBE-GGA).

Structure (POSCAR):
```
Al2TeMo
1.0
-2.647 -2.093 -3.221
-3.167 -3.174 1.287
-4.549 0.995 -0.286
Te Mo Al
1 1 2
Cartesian
-7.772 -3.204 -1.665 Te
-5.181 -2.136 -1.110 Mo
0.000 0.000 0.000 Al
-2.591 -1.068 -0.555 Al
```

Space-group type ... F-43m
Magnetic moment ... 0.00 μB per cell
E_tot ... -4.94 eV per atom
Formation energy (no corrections) ... 426.9 meV per atom

Record 10
Entry from Alexandria: a relaxed Zn2CrTe crystal (PBE-GGA).

Structure (POSCAR):
```
Zn2CrTe
1.0
-2.077 2.093 0.848
-0.866 0.317 -2.926
-5.813 -6.191 1.049
Te Cr Zn
1 1 2
Cartesian
-5.831 -3.438 -0.252 Te
-2.925 -0.342 -0.777 Cr
-0.379 -0.404 0.068 Zn
-2.527 -2.692 0.456 Zn
```

Space-group type ... Cmmm
Magnetic moment ... 3.57 μB per cell
E_tot ... -3.49 eV per atom
Formation energy (no corrections) ... 342.6 meV per atom

Record 11
Entry from Alexandria: a relaxed CaTmZnAu crystal (PBE-GGA).

Structure (POSCAR):
```
CaTmZnAu
1.0
-2.505 4.119 1.533
-3.101 -0.264 3.988
1.268 2.261 4.344
Au Ca Zn Tm
1 1 1 1
Cartesian
-2.169 3.058 4.932 Au
-1.084 1.529 2.466 Ca
0.000 0.000 0.000 Zn
-3.253 4.587 7.399 Tm
```

Excess energy over the best structure of this formula in the dataset ... 27 meV per atom
Space-group type ... F-43m
Magnetic moment ... 0.00 μB per cell
E_tot ... -3.30 eV per atom

Record 12
Entry from Alexandria: a relaxed AcCe2DySe5 crystal (PBE-GGA).

Structure (POSCAR):
```
AcCe2DySe5
1.0
5.152 0.000 0.000
0.000 5.152 0.000
0.000 0.000 11.373
Dy Ac Ce Se
1 1 2 5
Cartesian
0.000 0.000 5.686 Dy
0.000 0.000 0.000 Ac
2.576 2.576 7.601 Ce
2.576 2.576 3.772 Ce
0.000 2.576 5.686 Se
2.576 0.000 5.686 Se
2.576 2.576 0.000 Se
0.000 0.000 2.905 Se
0.000 0.000 8.467 Se
```

Space-group type ... P4/mmm
Magnetic moment ... 3.47 μB per cell
E_tot ... -5.60 eV per atom
Formation energy (no corrections) ... -1373.6 meV per atom

Record 13
Entry from Alexandria: a relaxed K2MgInH crystal (PBE-GGA).

Structure (POSCAR):
```
K2MgInH
1.0
5.311 0.000 0.000
0.000 5.242 0.000
0.000 0.000 5.311
In K Mg H
1 2 1 1
Cartesian
0.000 2.621 0.000 In
2.656 0.000 0.000 K
0.000 0.000 2.656 K
2.656 2.621 2.656 Mg
0.000 0.000 0.000 H
```

Space-group type ... P4/mmm
Magnetic moment ... 0.00 μB per cell
E_tot ... -1.84 eV per atom

Record 14
Entry from Alexandria: a relaxed CaPm2Ga crystal (PBE-GGA).

Structure (POSCAR):
```
CaPm2Ga
1.0
4.746 0.000 0.000
0.000 4.928 0.000
0.000 0.000 4.928
Pm Ca Ga
2 1 1
Cartesian
0.000 0.000 2.464 Pm
0.000 2.464 0.000 Pm
2.373 2.464 2.464 Ca
2.373 0.000 0.000 Ga
```

Excess energy over the best structure of this formula in the dataset ... 53 meV per atom
Space-group type ... P4/mmm
Magnetic moment ... 0.00 μB per cell
E_tot ... -3.81 eV per atom

Record 15
Entry from Alexandria: a relaxed CaHN2O crystal (PBE-GGA).

Structure (POSCAR):
```
CaHN2O
1.0
5.122 0.000 0.000
0.000 5.122 0.000
0.000 0.000 4.308
H N Ca O
1 2 1 1
Cartesian
2.561 2.561 2.154 H
0.000 2.561 0.000 N
2.561 0.000 0.000 N
0.000 0.000 0.000 Ca
0.000 0.000 2.154 O
```

Space-group type ... P4/mmm
Magnetic moment ... 5.00 μB per cell
E_tot ... -3.75 eV per atom

Record 16
Entry from Alexandria: a relaxed Mg2ZnTe crystal (PBE-GGA).

Structure (POSCAR):
```
Mg2ZnTe
1.0
-3.292 0.733 2.154
-0.233 -3.877 0.963
3.335 0.983 4.763
Zn Mg Te
1 2 1
Cartesian
0.960 -0.770 5.446 Zn
3.154 0.930 4.504 Mg
-0.783 -1.283 2.957 Mg
1.484 0.437 2.119 Te
```

Excess energy over the best structure of this formula in the dataset ... 79 meV per atom
Space-group type ... P4mm
Magnetic moment ... 0.00 μB per cell
E_tot ... -2.07 eV per atom
Formation energy (no corrections) ... -165.2 meV per atom

Record 17
Entry from Alexandria: a relaxed AlCo3N crystal (PBE-GGA).

Structure (POSCAR):
```
AlCo3N
1.0
3.740 0.000 0.000
0.000 3.740 0.000
0.000 0.000 3.740
Al Co N
1 3 1
Cartesian
1.870 1.870 1.870 Al
0.000 1.870 0.000 Co
1.870 0.000 0.000 Co
0.000 0.000 1.870 Co
0.000 0.000 0.000 N
```

Excess energy over the best structure of this formula in the dataset ... 0 meV per atom
Space-group type ... Pm-3m
Magnetic moment ... 2.66 μB per cell
E_tot ... -6.93 eV per atom
Formation energy (no corrections) ... -251.4 meV per atom

Record 18
Entry from Alexandria: a relaxed Na2CaYGe crystal (PBE-GGA).

Structure (POSCAR):
```
Na2CaYGe
1.0
-2.768 -4.493 -1.850
4.806 -2.215 -1.808
0.728 -2.512 5.012
Y Ge Na Ca
1 1 2 1
Cartesian
0.364 -1.256 2.506 Y
0.000 0.000 0.000 Ge
-1.384 -2.247 -0.925 Na
2.403 -1.108 -0.904 Na
1.383 -4.610 0.677 Ca
```

Space-group type ... P4/mmm
Magnetic moment ... 0.76 μB per cell
E_tot ... -3.07 eV per atom

Record 19
Entry from Alexandria: a relaxed LiNpTeSe crystal (PBE-GGA).

Structure (POSCAR):
```
LiNpTeSe
1.0
-1.626 1.069 4.170
1.775 -3.895 1.691
8.211 4.618 2.018
Np Li Te Se
2 2 2 2
Cartesian
3.570 -0.438 1.505 Np
4.715 3.644 3.444 Np
0.000 0.000 0.000 Li
0.074 -1.413 2.930 Li
7.719 1.895 2.525 Te
0.565 1.310 2.424 Te
4.105 2.309 1.009 Se
4.179 0.896 3.940 Se
```

Space-group type ... P4/nmm
Magnetic moment ... 8.00 μB per cell
E_tot ... -6.21 eV per atom
Formation energy (no corrections) ... -839.8 meV per atom

Record 20
Entry from Alexandria: a relaxed K2ZrCo crystal (PBE-GGA).

Structure (POSCAR):
```
K2ZrCo
1.0
-0.462 2.866 0.785
-5.782 -0.319 -2.242
-1.911 -1.725 5.175
K Co Zr
2 1 1
Cartesian
-1.896 -1.712 5.134 K
-0.971 -0.876 2.628 K
-4.556 -0.020 3.153 Co
-3.600 0.842 0.565 Zr
```

Excess energy over the best structure of this formula in the dataset ... 788 meV per atom
Space-group type ... Pmmm
Magnetic moment ... 1.65 μB per cell
E_tot ... -3.27 eV per atom